{"formula": "PmMnRh", "functional": "PBE-GGA", "state": "relaxed", "lattice_angstrom": [[-2.672, 1.996, -6.199], [-8.243, 0.065, -0.422], [-3.991, 7.225, 0.050]], "species": ["Rh", "Rh", "Rh", "Rh", "Rh", "Rh", "Pm", "Pm", "Pm", "Pm", "Pm", "Pm", "Mn", "Mn", "Mn", "Mn", "Mn", "Mn"], "fractional_positions": [[0.258, 0.250, 0.750], [0.591, 0.165, 0.165], [0.258, 0.750, 0.250], [0.921, 0.335, 0.335], [0.591, 0.665, 0.665], [0.921, 0.835, 0.835], [0.256, 0.459, 0.959], [0.840, 0.250, 0.750], [0.674, 0.041, 0.541], [0.840, 0.750, 0.250], [0.256, 0.959, 0.459], [0.674, 0.541, 0.041], [0.258, 0.884, 0.884], [0.487, 0.000, 0.000], [0.026, 0.116, 0.116], [0.487, 0.500, 0.500], [0.026, 0.616, 0.616], [0.258, 0.384, 0.384]], "ef_ev_per_atom": -0.370, "spacegroup": "Amm2", "crystal_system": "orthorhombic"}

---

{"formula": "Pm2MnRh3", "functional": "PBE-GGA", "state": "relaxed", "lattice_angstrom": [[-0.916, -5.024, -2.319], [-1.507, 0.950, 5.318], [-7.403, 2.526, -2.549]], "species": ["Rh", "Rh", "Rh", "Rh", "Rh", "Rh", "Mn", "Mn", "Pm", "Pm", "Pm", "Pm"], "fractional_positions": [[0.335, 0.167, 0.750], [0.833, 0.665, 0.750], [0.833, 0.167, 0.750], [0.665, 0.833, 0.250], [0.167, 0.335, 0.250], [0.167, 0.833, 0.250], [0.000, 0.000, 0.500], [0.000, 0.000, 0.000], [0.333, 0.667, 0.561], [0.333, 0.667, 0.939], [0.667, 0.333, 0.439], [0.667, 0.333, 0.061]], "ef_ev_per_atom": -0.564, "spacegroup": "P6_3/mmc", "crystal_system": "hexagonal"}

---

{"formula": "Pm2MnSb3Rh4", "functional": "PBE-GGA", "state": "relaxed", "lattice_angstrom": [[-3.755, -0.809, 1.989], [1.945, -2.979, 2.461], [2.316, 7.722, 7.517]], "species": ["Rh", "Rh", "Rh", "Rh", "Sb", "Sb", "Sb", "Pm", "Pm", "Mn"], "fractional_positions": [[0.500, 0.000, 0.632], [0.000, 0.500, 0.368], [0.000, 0.000, 0.000], [0.500, 0.500, 0.000], [0.000, 0.000, 0.500], [0.500, 0.000, 0.863], [0.000, 0.500, 0.137], [0.000, 0.500, 0.744], [0.500, 0.000, 0.256], [0.500, 0.500, 0.500]], "spacegroup": "P-4m2", "raw_formation_energy_ev_per_fu": -7.3, "crystal_system": "tetragonal"}

---

{"formula": "PmMnSi2Rh", "functional": "PBE-GGA", "state": "relaxed", "lattice_angstrom": [[-2.577, 0.927, -2.974], [-1.949, -3.491, 0.601], [-0.831, 3.596, 4.588]], "species": ["Si", "Si", "Rh", "Mn", "Pm"], "fractional_positions": [[0.620, 0.620, 0.240], [0.380, 0.380, 0.760], [0.250, 0.750, 0.500], [0.750, 0.250, 0.500], [0.000, 0.000, 0.000]], "spacegroup": "I-4m2", "raw_formation_energy_ev_per_fu": -4.1, "crystal_system": "tetragonal"}

---

{"formula": "Pm2MnSn4Rh3", "functional": "PBE-GGA", "state": "relaxed", "lattice_angstrom": [[-3.013, -2.814, -1.591], [3.228, -2.741, -1.263], [-0.462, -5.116, 9.923]], "species": ["Pm", "Pm", "Rh", "Rh", "Rh", "Mn", "Sn", "Sn", "Sn", "Sn"], "fractional_positions": [[0.500, 0.000, 0.248], [0.000, 0.500, 0.752], [0.000, 0.000, 0.500], [0.000, 0.500, 0.132], [0.500, 0.000, 0.868], [0.500, 0.500, 0.500], [0.500, 0.000, 0.636], [0.000, 0.000, 0.000], [0.500, 0.500, 0.000], [0.000, 0.500, 0.364]], "ef_ev_per_atom": -0.576, "spacegroup": "P-4m2", "crystal_system": "tetragonal"}

---

{"formula": "Pm2MnZn2Rh5", "functional": "PBE-GGA", "state": "relaxed", "lattice_angstrom": [[3.640, 0.000, 0.000], [0.000, 9.736, 0.000], [0.000, 0.000, 9.736]], "species": ["Zn", "Zn", "Zn", "Zn", "Rh", "Rh", "Rh", "Rh", "Rh", "Rh", "Rh", "Rh", "Rh", "Rh", "Pm", "Pm", "Pm", "Pm", "Mn", "Mn"], "fractional_positions": [[0.000, 0.624, 0.876], [0.000, 0.876, 0.376], [0.000, 0.376, 0.124], [0.000, 0.124, 0.624], [0.500, 0.435, 0.299], [0.500, 0.935, 0.201], [0.500, 0.799, 0.935], [0.500, 0.701, 0.435], [0.500, 0.201, 0.065], [0.500, 0.500, 0.000], [0.500, 0.299, 0.565], [0.500, 0.565, 0.701], [0.500, 0.000, 0.500], [0.500, 0.065, 0.799], [0.000, 0.675, 0.175], [0.000, 0.825, 0.675], [0.000, 0.175, 0.325], [0.000, 0.325, 0.825], [0.000, 0.500, 0.500], [0.000, 0.000, 0.000]], "ef_ev_per_atom": -0.444, "spacegroup": "P4/mbm", "crystal_system": "tetragonal"}

---

{"formula": "Pm2MnRu", "functional": "PBE-GGA", "state": "relaxed", "lattice_angstrom": [[-2.734, -2.104, 0.712], [0.831, -2.016, -2.768], [4.288, -4.121, 4.289]], "species": ["Pm", "Pm", "Mn", "Ru"], "fractional_positions": [[0.000, 0.000, 0.234], [0.000, 0.000, 0.766], [0.500, 0.500, 0.500], [0.500, 0.500, 0.000]], "ef_ev_per_atom": 0.051, "spacegroup": "P4/mmm", "de_polymorph_ev_per_atom": 0.000, "crystal_system": "tetragonal"}

---

{"formula": "PmMnRu2", "functional": "PBE-GGA", "state": "relaxed", "lattice_angstrom": [[-3.093, -0.057, -0.742], [0.362, -2.887, -1.285], [-1.391, -2.854, 6.018]], "species": ["Ru", "Ru", "Pm", "Mn"], "fractional_positions": [[0.000, 0.000, 0.200], [0.000, 0.000, 0.800], [0.500, 0.500, 0.500], [0.500, 0.500, 0.000]], "ef_ev_per_atom": 0.122, "spacegroup": "P4/mmm", "crystal_system": "tetragonal"}

---

{"formula": "PmMnRu2", "functional": "PBE-GGA", "state": "relaxed", "lattice_angstrom": [[4.291, 0.000, 0.000], [2.145, 3.716, 0.000], [2.145, 1.239, 5.039]], "species": ["Mn", "Pm", "Ru", "Ru"], "fractional_positions": [[0.500, 0.500, 0.500], [0.000, 0.000, 0.000], [0.194, 0.194, 0.417], [0.806, 0.806, 0.583]], "ef_ev_per_atom": 0.100, "spacegroup": "R-3m", "crystal_system": "trigonal"}

---

{"formula": "PmMnSbRu", "functional": "PBE-GGA", "state": "relaxed", "lattice_angstrom": [[-3.843, -2.861, -0.206], [0.551, -4.707, -0.734], [-0.876, -3.099, 3.553]], "species": ["Sb", "Pm", "Mn", "Ru"], "fractional_positions": [[0.250, 0.250, 0.250], [0.750, 0.750, 0.750], [0.000, 0.000, 0.000], [0.500, 0.500, 0.500]], "spacegroup": "F-43m", "raw_formation_energy_ev_per_fu": -0.4, "crystal_system": "cubic"}

---

{"formula": "PmYMnRu", "functional": "PBE-GGA", "state": "relaxed", "lattice_angstrom": [[4.978, 0.000, 0.000], [2.489, 4.311, 0.000], [2.489, 1.437, 4.064]], "species": ["Y", "Pm", "Mn", "Ru"], "fractional_positions": [[0.250, 0.250, 0.250], [0.750, 0.750, 0.750], [0.500, 0.500, 0.500], [0.000, 0.000, 0.000]], "ef_ev_per_atom": 0.012, "spacegroup": "F-43m", "crystal_system": "cubic"}

---

{"formula": "PmMn4S8", "functional": "PBE-GGA", "state": "relaxed", "lattice_angstrom": [[-5.690, 1.067, -3.501], [-5.197, -4.290, 0.603], [-5.961, 2.434, 3.893]], "species": ["Mn", "Mn", "Mn", "Mn", "S", "S", "S", "S", "S", "S", "S", "S", "Pm"], "fractional_positions": [[0.000, 0.000, 0.000], [0.000, 0.500, 0.000], [0.500, 0.000, 0.000], [0.500, 0.500, 0.000], [0.260, 0.769, 0.201], [0.740, 0.231, 0.799], [0.231, 0.740, 0.799], [0.734, 0.734, 0.799], [0.769, 0.769, 0.201], [0.231, 0.231, 0.799], [0.769, 0.260, 0.201], [0.266, 0.266, 0.201], [0.500, 0.500, 0.500]], "spacegroup": "R-3m", "raw_formation_energy_ev_per_fu": -10.3, "crystal_system": "trigonal"}

---

{"formula": "Pm3Mn5S12", "functional": "PBE-GGA", "state": "relaxed", "lattice_angstrom": [[13.052, 0.000, 0.000], [-4.351, 12.305, 0.000], [-4.351, -6.153, 10.657]], "species": ["Pm", "Pm", "Pm", "Pm", "Pm", "Pm", "Pm", "Pm", "Pm", "Pm", "Pm", "Pm", "S", "S", "S", "S", "S", "S", "S", "S", "S", "S", "S", "S", "S", "S", "S", "S", "S", "S", "S", "S", "S", "S", "S", "S", "S", "S", "S", "S", "S", "S", "S", "S", "S", "S", "S", "S", "S", "S", "S", "S", "S", "S", "S", "S", "S", "S", "S", "S", "Mn", "Mn", "Mn", "Mn", "Mn", "Mn", "Mn", "Mn", "Mn", "Mn", "Mn", "Mn", "Mn", "Mn", "Mn", "Mn", "Mn", "Mn", "Mn", "Mn"], "fractional_positions": [[0.375, 0.750, 0.625], [0.125, 0.250, 0.875], [0.750, 0.875, 0.625], [0.250, 0.125, 0.375], [0.625, 0.250, 0.375], [0.125, 0.875, 0.750], [0.250, 0.625, 0.875], [0.875, 0.125, 0.250], [0.750, 0.375, 0.125], [0.375, 0.625, 0.250], [0.625, 0.375, 0.750], [0.875, 0.750, 0.125], [0.972, 0.592, 0.175], [0.381, 0.408, 0.084], [0.084, 0.908, 0.381], [0.203, 0.528, 0.619], [0.028, 0.619, 0.703], [0.416, 0.119, 0.592], [0.416, 0.297, 0.325], [0.408, 0.028, 0.325], [0.119, 0.416, 0.092], [0.908, 0.825, 0.528], [0.592, 0.619, 0.416], [0.472, 0.675, 0.092], [0.472, 0.797, 0.881], [0.916, 0.825, 0.797], [0.703, 0.119, 0.028], [0.797, 0.472, 0.381], [0.584, 0.703, 0.675], [0.881, 0.584, 0.908], [0.381, 0.972, 0.797], [0.325, 0.528, 0.408], [0.916, 0.092, 0.619], [0.797, 0.325, 0.916], [0.619, 0.028, 0.203], [0.703, 0.584, 0.175], [0.881, 0.297, 0.472], [0.325, 0.797, 0.416], [0.084, 0.175, 0.203], [0.175, 0.092, 0.972], [0.528, 0.325, 0.908], [0.592, 0.972, 0.675], [0.408, 0.381, 0.584], [0.825, 0.916, 0.297], [0.297, 0.881, 0.972], [0.908, 0.084, 0.881], [0.203, 0.675, 0.084], [0.675, 0.472, 0.592], [0.619, 0.592, 0.916], [0.092, 0.175, 0.472], [0.119, 0.703, 0.528], [0.028, 0.408, 0.825], [0.972, 0.381, 0.297], [0.092, 0.916, 0.119], [0.675, 0.203, 0.584], [0.584, 0.881, 0.408], [0.825, 0.908, 0.028], [0.175, 0.084, 0.703], [0.528, 0.203, 0.119], [0.297, 0.416, 0.825], [0.875, 0.625, 0.750], [0.500, 0.500, 0.000], [0.125, 0.375, 0.250], [0.000, 0.000, 0.000], [0.000, 0.500, 0.500], [0.625, 0.750, 0.875], [0.000, 0.000, 0.500], [0.500, 0.000, 0.500], [0.000, 0.500, 0.000], [0.125, 0.750, 0.375], [0.375, 0.250, 0.125], [0.250, 0.375, 0.625], [0.750, 0.625, 0.375], [0.750, 0.125, 0.875], [0.500, 0.000, 0.000], [0.875, 0.250, 0.625], [0.250, 0.875, 0.125], [0.625, 0.875, 0.250], [0.375, 0.125, 0.750], [0.500, 0.500, 0.500]], "spacegroup": "Ia-3d", "raw_formation_energy_ev_per_fu": -21.5, "crystal_system": "cubic"}

---

{"formula": "PmMnS3", "functional": "PBE-GGA", "state": "relaxed", "lattice_angstrom": [[-0.376, 0.256, -3.793], [-7.579, -1.363, 0.660], [-2.201, 12.765, 1.079]], "species": ["S", "S", "S", "S", "S", "S", "S", "S", "S", "S", "S", "S", "Mn", "Mn", "Mn", "Mn", "Pm", "Pm", "Pm", "Pm"], "fractional_positions": [[0.750, 0.305, 0.287], [0.250, 0.345, 0.505], [0.250, 0.979, 0.389], [0.750, 0.655, 0.495], [0.750, 0.155, 0.005], [0.250, 0.695, 0.713], [0.750, 0.521, 0.889], [0.750, 0.805, 0.213], [0.250, 0.195, 0.787], [0.250, 0.845, 0.995], [0.250, 0.479, 0.111], [0.750, 0.021, 0.611], [0.750, 0.659, 0.053], [0.750, 0.159, 0.447], [0.250, 0.841, 0.553], [0.250, 0.341, 0.947], [0.750, 0.408, 0.670], [0.250, 0.092, 0.170], [0.250, 0.592, 0.330], [0.750, 0.908, 0.830]], "spacegroup": "Pnma", "raw_formation_energy_ev_per_fu": -6.4, "crystal_system": "orthorhombic"}

---

{"formula": "PmMnS", "functional": "PBE-GGA", "state": "relaxed", "lattice_angstrom": [[3.929, 0.000, 0.000], [1.965, 3.403, 0.000], [1.965, 1.134, 11.140]], "species": ["Mn", "Mn", "S", "S", "Pm", "Pm"], "fractional_positions": [[0.831, 0.831, 0.507], [0.169, 0.169, 0.493], [0.280, 0.280, 0.159], [0.720, 0.720, 0.841], [0.572, 0.572, 0.285], [0.428, 0.428, 0.715]], "spacegroup": "R-3m", "raw_formation_energy_ev_per_fu": -1.7, "crystal_system": "trigonal"}

---

{"formula": "Pm2ScMnS6", "functional": "PBE-GGA", "state": "relaxed", "lattice_angstrom": [[-0.045, 5.896, -2.428], [-4.862, -2.042, -4.868], [-6.793, 2.272, 5.831]], "species": ["Pm", "Pm", "Pm", "Pm", "S", "S", "S", "S", "S", "S", "S", "S", "S", "S", "S", "S", "Sc", "Sc", "Mn", "Mn"], "fractional_positions": [[0.540, 0.607, 0.748], [0.460, 0.393, 0.252], [0.040, 0.893, 0.248], [0.960, 0.107, 0.752], [0.824, 0.819, 0.939], [0.314, 0.676, 0.055], [0.676, 0.319, 0.561], [0.686, 0.324, 0.945], [0.186, 0.176, 0.445], [0.375, 0.971, 0.738], [0.814, 0.824, 0.555], [0.176, 0.181, 0.061], [0.625, 0.029, 0.262], [0.875, 0.529, 0.238], [0.125, 0.471, 0.762], [0.324, 0.681, 0.439], [0.500, 0.000, 0.000], [0.000, 0.500, 0.500], [0.000, 0.500, 0.000], [0.500, 0.000, 0.500]], "spacegroup": "P2_1/c", "raw_formation_energy_ev_per_fu": -16.4, "crystal_system": "monoclinic"}

---

{"formula": "Pm2ScMnS5", "functional": "PBE-GGA", "state": "relaxed", "lattice_angstrom": [[-1.327, -2.752, -2.349], [8.417, -0.850, -0.597], [-0.129, -7.519, 8.882]], "species": ["S", "S", "S", "S", "S", "S", "S", "S", "S", "S", "Mn", "Mn", "Pm", "Pm", "Pm", "Pm", "Sc", "Sc"], "fractional_positions": [[0.049, 0.098, 0.064], [0.504, 0.008, 0.274], [0.689, 0.379, 0.858], [0.644, 0.287, 0.501], [0.287, 0.574, 0.666], [0.713, 0.426, 0.166], [0.311, 0.621, 0.358], [0.951, 0.902, 0.564], [0.356, 0.713, 0.001], [0.496, 0.992, 0.774], [0.557, 0.113, 0.951], [0.443, 0.887, 0.451], [0.887, 0.774, 0.188], [0.870, 0.740, 0.810], [0.130, 0.260, 0.310], [0.113, 0.226, 0.688], [0.802, 0.603, 0.513], [0.198, 0.397, 0.013]], "spacegroup": "Cmc2_1", "raw_formation_energy_ev_per_fu": -15.3, "crystal_system": "orthorhombic"}

---

{"formula": "Pm3MnTl4S8", "functional": "PBE-GGA", "state": "relaxed", "lattice_angstrom": [[-1.328, 0.032, -7.975], [8.281, -2.572, -1.390], [-4.562, -4.596, 4.840]], "species": ["Tl", "Tl", "Tl", "Tl", "S", "S", "S", "S", "S", "S", "S", "S", "Pm", "Pm", "Pm", "Mn"], "fractional_positions": [[0.000, 0.000, 0.000], [0.500, 0.000, 0.000], [0.000, 0.000, 0.500], [0.500, 0.000, 0.500], [0.244, 0.305, 0.024], [0.756, 0.695, 0.976], [0.264, 0.292, 0.528], [0.780, 0.305, 0.561], [0.780, 0.305, 0.024], [0.220, 0.695, 0.976], [0.220, 0.695, 0.439], [0.736, 0.708, 0.472], [0.500, 0.500, 0.500], [0.000, 0.500, 0.500], [0.500, 0.500, 0.000], [0.000, 0.500, 0.000]], "spacegroup": "R-3m", "raw_formation_energy_ev_per_fu": -18.5, "crystal_system": "trigonal"}

---

no.,V (Å³/atom),DOS at the Fermi energy (states/eV/f.u.)
1,20.200,1.97
2,18.676,4.24
3,20.627,6.35
4,16.829,3.56
5,21.819,6.08
6,17.248,6.17
7,22.752,3.20
8,17.210,4.08
9,20.085,4.96
10,19.496,3.00
11,21.805,2.36
12,19.608,6.39
13,21.394,4.77
14,19.188,2.05
15,24.825,2.23
16,21.131,1.06
17,20.578,3.41
18,26.318,4.95